## Ba2SmI (PBE)

Data for Ba2SmI after structural relaxation.

Geometry as CIF:
```
data_Ba2SmI
_space_group_name_H-M_alt 'R -3 m'
_space_group_IT_number 166
_space_group_name_Hall '-R 3 2"'
_cell_length_a 4.0704
_cell_length_b 4.0704
_cell_length_c 38.4093
_cell_angle_alpha 90.00
_cell_angle_beta 90.00
_cell_angle_gamma 120.00
loop_
_atom_site_label
_atom_site_fract_x
_atom_site_fract_y
_atom_site_fract_z
Ba1 0.0000 0.0000 0.0970
Sm1 0.0000 0.0000 0.0000
I1 0.0000 0.0000 0.5000
```

## Properties
E_form (uncorrected): -24 kJ/mol of atoms
E_tot: -2.78 eV/atom